PrZn3CuNi | PBE | optimized geometry

Cell and atoms, written as extended XYZ:
```
12
Lattice="5.461 0.000 0.000 0.000 6.262 0.000 0.000 -3.131 6.180" Properties=species:S:1:pos:R:3 pbc="T T T"
Ni 4.095 0.000 0.722
Pr 4.095 0.000 3.356
Ni 1.365 3.131 5.458
Cu 4.095 3.131 1.813
Zn 2.730 4.394 0.000
Cu 1.365 0.000 4.367
Zn 2.730 1.868 0.000
Pr 1.365 3.131 2.825
Zn 1.365 0.000 1.754
Zn 0.000 1.868 0.000
Zn 4.095 3.131 4.427
Zn 0.000 4.394 0.000
```

Output
V, Å³/cell: 211.34
Energy relative to the elements, meV per atom: -146
Size of the total moment, Bohr magnetons per cell: 0.000
DOS(E_F), states/eV per atom: 0.5983

=====

PrZn2CuNi | PBE | optimized geometry

Cell and atoms, written as extended XYZ:
```
5
Lattice="-0.287 1.855 -3.659 0.635 -3.377 -1.761 -5.659 -0.233 2.637" Properties=species:S:1:pos:R:3 pbc="T T T"
Zn -2.265 0.543 -1.858
Cu -1.887 -2.088 -0.910
Ni -3.481 -1.423 -2.759
Zn -0.595 -0.108 -0.008
Pr -4.721 -0.855 -0.063
```

Output
V, Å³/cell: 88.53
Energy relative to the elements, meV per atom: -247
Size of the total moment, Bohr magnetons per cell: 0.000
DOS(E_F), states/eV per atom: 0.4181

=====

PrZnCu2Ni | PBE | optimized geometry

Cell and atoms, written as extended XYZ:
```
5
Lattice="3.913 0.000 0.000 0.000 3.949 0.000 -1.956 -1.974 5.519" Properties=species:S:1:pos:R:3 pbc="T T T"
Cu 0.000 0.000 0.593
Pr 0.000 0.000 4.812
Cu 1.956 0.000 2.162
Ni 1.956 1.974 3.668
Zn 0.000 1.974 2.143
```

Output
V, Å³/cell: 85.27
Energy relative to the elements, meV per atom: -210
Size of the total moment, Bohr magnetons per cell: 0.000
DOS(E_F), states/eV per atom: 0.3524

=====

Pr3ZnCu6Ni2 | PBE | optimized geometry

Cell and atoms, written as extended XYZ:
```
12
Lattice="-2.179 -0.197 -5.210 4.914 -2.561 1.106 -3.897 -6.664 1.881" Properties=species:S:1:pos:R:3 pbc="T T T"
Pr -1.264 -3.463 -2.405
Cu -3.698 -5.527 -2.640
Cu 1.590 -3.980 -1.846
Ni -3.677 -7.589 -1.240
Cu -1.564 -6.640 -2.160
Zn -1.948 -3.332 0.941
Pr 0.102 -5.959 0.182
Cu 0.402 -2.782 -0.063
Pr 0.000 0.000 0.000
Cu -2.752 -5.442 -0.377
Ni 2.515 -1.832 -0.983
Cu 2.536 -3.895 0.417
```

Output
V, Å³/cell: 219.72
Energy relative to the elements, meV per atom: 25
Size of the total moment, Bohr magnetons per cell: 0.000
DOS(E_F), states/eV per atom: 0.4056

=====

Pr2ZnCu2Ni5 | PBE | optimized geometry

Cell and atoms, written as extended XYZ:
```
20
Lattice="-0.254 -2.385 -2.859 9.033 0.539 -1.253 1.214 -7.006 5.736" Properties=species:S:1:pos:R:3 pbc="T T T"
Ni 6.773 -3.924 0.235
Zn 5.123 -3.233 2.241
Pr 2.039 -2.121 1.587
Cu 1.779 -4.243 3.381
Ni 1.343 -6.737 3.064
Ni 3.218 -4.927 1.388
Cu 3.621 -0.594 0.173
Zn 0.000 0.000 0.000
Pr 8.207 -4.346 2.895
Ni 4.389 -0.923 -2.056
Cu 6.625 -5.873 4.309
Ni 8.206 -7.378 2.988
Pr 6.393 -0.915 0.195
Ni 4.243 -3.025 -0.290
Pr 3.853 -5.552 4.288
Ni 8.649 -2.115 -1.441
Ni 0.480 -4.695 1.438
Cu 8.467 -2.224 1.102
Ni 1.786 -1.474 -1.365
Ni 5.749 -5.827 1.913
```

Output
V, Å³/cell: 311.41
Energy relative to the elements, meV per atom: -130
Size of the total moment, Bohr magnetons per cell: 0.000
DOS(E_F), states/eV per atom: 0.4505

=====

Pr2Zn12Cu3Ni | PBE | optimized geometry

Cell and atoms, written as extended XYZ:
```
18
Lattice="-9.316 -5.937 2.536 -9.129 -5.837 -3.327 -5.860 -9.696 -0.353" Properties=species:S:1:pos:R:3 pbc="T T T"
Cu -4.565 -2.918 -1.664
Zn -17.083 -16.255 0.712
Zn -13.949 -11.303 0.665
Zn -10.357 -10.167 -1.809
Zn -11.892 -8.497 -0.525
Ni 0.000 0.000 0.000
Zn -12.413 -12.973 -0.619
Pr -8.704 -7.688 -0.410
Zn -10.440 -10.211 0.796
Zn -5.512 -7.234 -0.300
Cu -4.658 -2.969 1.268
Zn -7.223 -5.214 -1.857
Zn -18.794 -14.235 -0.844
Cu -2.930 -4.848 -0.177
Zn -7.321 -5.267 1.213
Zn -13.865 -11.258 -1.940
Zn -16.985 -16.203 -2.357
Pr -15.602 -13.781 -0.734
```

Output
V, Å³/cell: 322.50
Energy relative to the elements, meV per atom: -14
Size of the total moment, Bohr magnetons per cell: 0.000
DOS(E_F), states/eV per atom: 0.5931

=====

Which of these has the lowest energy relative to the elements? PrZn2CuNi

=====

What is the V in the third record? 85.27 Å³/cell

=====

What is the size of the total moment in the fifth record? 0.000 Bohr magnetons per cell

=====

Among the records above, which one has the lowest energy relative to the elements? PrZn2CuNi